VASP calculation (PBE-GGA) on an optimized crystal structure of K2CrCuN.

Summary:
**Total magnetic moment**: 7.343 μB per formula unit
**D(E_F)**: 3.6 states/eV/f.u.
**Symmetry**: No. 123
**Uncorrected formation energy**: 1543 meV/atom
**Raw total energy**: -3.305 eV per atom

a = 6.4012 Å, b = 6.4012 Å, c = 4.7954 Å
α = 90.00°, β = 90.00°, γ = 90.00°
Element x y z (fractional)
K: 0.0000 0.5000 0.0000
K: 0.5000 0.0000 0.0000
Cr: 0.0000 0.0000 0.0000
Cu: 0.0000 0.0000 0.5000
N: 0.5000 0.5000 0.5000